CrPbIN2: relaxed, PBE.

Cell lengths 4.0614, 4.0614, 5.3852 Å; angles 90.00, 90.00, 90.00 degrees
With the nearest neighbours (Å) after each atom.
Element x y z (fractional)
1 Cr 0.0000 0.0000 0.0000  4 N 2.03
2 Pb 0.5000 0.5000 0.5000  4 I 2.87
3 I 0.0000 0.0000 0.5000  2 Cr 2.69, 4 Pb 2.87
4 N 0.0000 0.5000 0.0000  2 Cr 2.03
5 N 0.5000 0.0000 0.0000  2 Cr 2.03

Offset from the most stable computed form in eV per formula unit: 0.00
Total energy in eV for the cell shown: -26.7
Energy relative to the elements, uncorrected in meV per atom: 958



Ti2Ga4I: relaxed, PBE.

Cell lengths 7.7684, 7.7684, 7.7684 Å; angles 139.12, 139.12, 59.19 degrees
With the nearest neighbours (Å) after each atom.
Element x y z (fractional)
1 Ti 0.0838 0.0838 0.0000  1 Ti 2.27
2 Ti 0.9162 0.9162 0.0000  1 Ti 2.27
3 Ga 0.0000 0.5000 0.5000  2 I 2.71, 4 Ti 2.94
4 Ga 0.2850 0.2850 0.0000  1 Ti 2.72, 1 I 2.91
5 Ga 0.5000 0.0000 0.5000  2 I 2.71, 4 Ti 2.94
6 Ga 0.7150 0.7150 0.0000  1 Ti 2.72, 1 I 2.91
7 I 0.5000 0.5000 0.0000  6 Ga 2.71-2.91

Total energy in eV for the cell shown: -24.2
Energy relative to the elements, uncorrected in meV per atom: 749



TiSCl2: relaxed, PBE.

Cell lengths 4.5780, 4.5780, 4.5780 Å; angles 60.00, 60.00, 60.00 degrees
With the nearest neighbours (Å) after each atom.
Element x y z (fractional)
1 Ti 0.0000 0.0000 0.0000  8 Cl 2.80
2 S 0.5000 0.5000 0.5000  8 Cl 2.80
3 Cl 0.2500 0.2500 0.2500  4 S 2.80, 4 Ti 2.80
4 Cl 0.7500 0.7500 0.7500  4 S 2.80, 4 Ti 2.80

Offset from the most stable computed form in eV per formula unit: 3.77
Total energy in eV for the cell shown: -16.1
Energy relative to the elements, uncorrected in meV per atom: -93



Tl2CdO4: relaxed, PBE.

Cell lengths 6.4401, 6.4401, 6.4401 Å; angles 107.83, 107.83, 112.80 degrees
With the nearest neighbours (Å) after each atom.
Element x y z (fractional)
1 Tl 0.0338 0.1250 0.4088  4 O 2.21-2.30
2 Tl 0.3750 0.9662 0.0912  4 O 2.21-2.30
3 Tl 0.7162 0.6250 0.5912  4 O 2.21-2.30
4 Tl 0.8750 0.2838 0.9088  4 O 2.21-2.30
5 Cd 0.2500 0.7500 0.5000  4 O 2.25
6 Cd 0.5000 0.5000 0.0000  4 O 2.25
7 O 0.0615 0.7961 0.1749  2 Tl 2.21-2.30, 1 Cd 2.25
8 O 0.1134 0.9385 0.7346  2 Tl 2.21-2.30, 1 Cd 2.25
9 O 0.1288 0.4539 0.7654  2 Tl 2.21-2.30, 1 Cd 2.25
10 O 0.2039 0.3788 0.2654  2 Tl 2.21-2.30, 1 Cd 2.25
11 O 0.5461 0.3115 0.6749  2 Tl 2.21-2.30, 1 Cd 2.25
12 O 0.6212 0.8866 0.8251  2 Tl 2.21-2.30, 1 Cd 2.25
13 O 0.6366 0.8712 0.3251  2 Tl 2.21-2.30, 1 Cd 2.25
14 O 0.6885 0.3634 0.2346  2 Tl 2.21-2.30, 1 Cd 2.25

Offset from the most stable computed form in eV per formula unit: 0.52
Total energy in eV for the cell shown: -60.7
Energy relative to the elements, uncorrected in meV per atom: -694



K3RbNa8: relaxed, PBE.

Cell lengths 7.4175, 7.4175, 12.2600 Å; angles 90.00, 90.00, 120.00 degrees
With the nearest neighbours (Å) after each atom.
Element x y z (fractional)
1 K 0.0000 0.0000 0.0000  12 Na 4.35-4.36, 4 K 4.54-4.56
2 K 0.0000 0.0000 0.3722  12 Na 4.35-4.43, 3 Rb 4.56, 1 K 4.56
3 K 0.3333 0.6667 0.8773  12 Na 4.34-4.37, 3 K 4.54, 1 Rb 4.63
4 Rb 0.3333 0.6667 0.5001  12 Na 4.35-4.41, 4 K 4.56-4.63
5 Na 0.0001 0.5000 0.1853  6 Na 3.71-3.75
6 Na 0.3319 0.1660 0.6894  6 Na 3.69-3.77
7 Na 0.5000 0.9999 0.1853  6 Na 3.71-3.75
8 Na 0.5000 0.5000 0.1853  6 Na 3.71-3.75
9 Na 0.6667 0.3333 0.4365  6 Na 3.75-3.77
10 Na 0.6667 0.3333 0.9365  6 Na 3.71-3.73
11 Na 0.8340 0.1660 0.6894  6 Na 3.69-3.77
12 Na 0.8340 0.6681 0.6894  6 Na 3.69-3.77

Total energy in eV for the cell shown: -14.8
ΔH_f (0 K) in kJ per mole of atoms: 0



ScPt2I: relaxed, PBE.

Cell lengths 7.0425, 7.0425, 7.0425 Å; angles 125.70, 125.70, 80.39 degrees
With the nearest neighbours (Å) after each atom.
Element x y z (fractional)
1 Sc 0.0000 0.0000 0.0000  4 Pt 2.61
2 Sc 0.7500 0.2500 0.5000  4 Pt 2.61
3 Pt 0.1160 0.6250 0.9910  2 Sc 2.61, 2 I 2.68
4 Pt 0.3750 0.3660 0.4910  2 Sc 2.61, 2 I 2.68
5 Pt 0.6340 0.1250 0.0090  2 Sc 2.61, 2 I 2.68
6 Pt 0.8750 0.8840 0.5090  2 Sc 2.61, 2 I 2.68
7 I 0.2500 0.7500 0.5000  4 Pt 2.68
8 I 0.5000 0.5000 0.0000  4 Pt 2.68

Offset from the most stable computed form in eV per formula unit: 0.71
Total energy in eV for the cell shown: -40.1
Energy relative to the elements, uncorrected in meV per atom: -25



no.,total magnetic moment (μB per formula unit)
1,0.0
2,0.6
3,0.0
4,0.0
5,0.0
6,0.0